# KGe

KGe after structural relaxation (GGA-PBE, Alexandria via LeMat-Bulk).

Cell and atoms, written as POSCAR:
```
KGe
1.0
-2.0212 4.4420 4.6962
2.0212 -4.4420 4.6962
2.0212 4.4420 -4.6962
K Ge
2 2
direct
0.0000 0.0000 0.0000
0.5000 0.0000 0.5000
0.4225 0.6725 0.7500
0.5775 0.3275 0.2500
```

Values from the calculation:
DFT total energy = -2.96 eV/atom
magnetization = 0.00 μB per atom
DOS at the Fermi energy = 0.482 states/eV/atom
E_form = -0.099 eV per atom
relative energy among the computed polymorphs = 113.9 meV/atom